1.
ZnSi64 PBE-GGA relaxed; mass density = 2.35 g/cm3; volume = 1316.39 Å³/cell; electronic total energy = -5.33 eV/atom
1.0
-9.8193 3.8505 -2.9778
-3.0321 0.4064 10.5240
3.8079 10.2529 0.7012
Si Zn
64 1
Cartesian
-2.4834 0.9738 -0.7531
-7.3359 2.8767 -2.2247
-5.6685 2.0270 1.1448
-0.7669 0.1028 2.6616
-3.9734 1.1668 4.5168
-8.8780 3.0901 3.0294
-2.2653 0.3036 7.8623
-7.1830 2.2300 6.4014
-6.7907 3.8320 2.1905
-5.1118 2.9800 5.5304
-3.5958 2.7854 0.2881
-1.8945 1.9220 3.6726
-10.0016 4.9072 4.0495
-8.3003 4.0439 7.4339
-8.4402 4.7368 -1.1291
-3.4199 2.1893 8.8578
-2.2604 3.6267 2.0614
-8.6875 5.7556 5.8353
-5.4729 4.6941 3.9485
-3.9567 4.4911 -1.3134
-0.5631 2.7691 5.4375
0.9631 2.5931 0.1773
-7.1182 5.5863 0.6430
-3.7917 3.8983 7.2606
-3.3907 5.4402 3.0922
-6.6053 6.5050 4.9798
-0.1800 4.3902 1.2103
-9.8071 7.5791 6.8632
-1.6817 4.5916 6.4565
-4.9165 5.6631 8.3559
-5.0690 6.3104 -0.2820
-8.3039 7.3820 1.6174
-0.5534 6.0900 -0.3946
-5.4580 8.0133 -1.8820
-3.7644 7.1534 1.4951
1.1451 5.2281 2.9843
-2.0692 6.2932 4.8674
-6.9743 8.2166 3.3799
-0.3694 5.4311 8.2409
-5.2791 7.3564 6.7522
-1.6980 7.8942 0.6280
0.0104 7.0273 4.0266
-8.1120 10.0188 4.3942
-6.4036 9.1519 7.7927
-6.5922 9.8152 -0.8466
-1.5078 7.2351 9.2677
-4.8944 8.9680 2.5227
-3.1967 8.1065 5.9000
-0.4392 8.7243 2.4462
-6.7380 10.8107 6.1448
2.8448 7.6598 0.5238
-2.0547 9.6123 -0.9632
1.3389 7.8902 5.7877
-3.5707 9.8157 4.2988
-5.2668 10.6798 0.9228
-1.8725 8.9574 7.6751
1.6394 9.4724 1.5921
-7.8664 12.6212 7.1738
-3.1763 11.4200 0.0755
-6.3977 12.4870 1.9671
0.2067 9.7033 6.8055
-3.0147 10.7703 8.6970
-1.5028 10.5773 3.4535
-4.6819 11.6303 5.3202
0.0000 0.0000 0.0000

---

2.
ThTaNb PBE-GGA relaxed; mass density = 11.06 g/cm3; M_tot = 0.00 μB/f.u.; volume = 75.98 Å³/cell; electronic total energy = -9.16 eV/atom
1.0
0.0000 3.3617 3.3617
3.3617 0.0000 3.3617
3.3617 3.3617 0.0000
Nb Ta Th
1 1 1
Cartesian
0.0000 0.0000 0.0000
1.6809 1.6809 1.6809
5.0426 5.0426 5.0426

---

3.
YGaFeRe PBE-GGA relaxed; mass density = 9.59 g/cm3; M_tot = 3.15 μB/f.u.; energy above the lowest structure with this stoichiometry = 13 meV/atom; volume = 69.36 Å³/cell
1.0
0.0000 3.2610 3.2610
3.2610 0.0000 3.2610
3.2610 3.2610 0.0000
Fe Ga Re Y
1 1 1 1
Cartesian
4.8915 4.8915 4.8915
0.0000 0.0000 0.0000
3.2610 3.2610 3.2610
1.6305 1.6305 1.6305

---

4.
H6AuC3NO PBE-GGA relaxed; mass density = 3.86 g/cm3; volume = 694.54 Å³/cell; electronic total energy = -5.51 eV/atom
1.0
-1.0604 -7.8057 -0.2197
4.4577 -2.9539 -8.2618
9.3377 -4.5150 1.4354
Au C H N O
6 18 36 6 6
Cartesian
2.8786 -2.6652 -5.1711
4.1027 -9.1769 -7.5176
1.3762 -8.7525 -0.1408
11.3589 -6.5220 -6.9054
8.6324 -6.0976 0.4714
9.8565 -12.6093 -1.8751
4.3297 -5.1329 -7.4021
1.1891 -4.6355 -1.5440
3.3735 -7.0013 -3.5257
3.6914 -10.1425 -4.7665
2.7135 -7.8791 -1.3609
4.2413 -3.1827 -2.3780
5.9292 -5.4078 -5.6401
5.9758 -9.4859 -5.0520
8.3609 -7.4158 -7.3989
4.3741 -7.8587 0.3527
6.7593 -5.7886 -1.9941
6.8059 -9.8667 -1.4061
8.4938 -12.0918 -4.6682
10.0216 -7.3954 -5.6852
9.0436 -5.1320 -2.2797
9.3616 -8.2732 -3.5205
11.5460 -10.6390 -5.5021
8.4054 -10.1416 0.3559
1.7002 -4.3054 -2.4558
1.1735 -3.8162 -0.8126
3.0708 -5.9585 -3.7103
3.3519 -7.5188 -4.4914
1.6841 -5.5200 -1.1234
3.2990 -2.6181 -2.3679
5.2408 -5.0213 -4.8741
4.0521 -4.2292 -2.6544
5.8921 -6.5074 -5.5946
4.3949 -7.0127 -3.1301
7.3697 -7.8630 -7.5354
4.7164 -3.1340 -1.3921
6.9438 -5.0755 -5.4067
6.6461 -9.2645 -5.8879
6.0140 -8.6445 -4.3400
8.2837 -6.3218 -7.5023
6.3313 -10.3811 -4.5236
4.6052 -4.8551 0.1141
8.1299 -10.4194 -7.1602
6.4038 -4.8934 -2.5226
4.4514 -8.9527 0.4561
6.7211 -6.6299 -2.7062
6.0890 -6.0100 -1.1583
5.7913 -10.1990 -1.6395
8.0186 -12.1405 -5.6541
5.3654 -7.4115 0.4893
8.3402 -8.2618 -3.9161
6.8429 -8.7671 -1.4515
8.6830 -11.0453 -4.3917
7.4943 -10.2532 -2.1720
9.4361 -12.6564 -4.6783
11.0510 -9.7545 -5.9228
9.3831 -7.7557 -2.5548
9.6643 -9.3160 -3.3359
11.5616 -11.4583 -6.2336
11.0349 -10.9691 -4.5904
2.4259 -7.6399 -2.6155
5.5514 -4.9254 -6.9681
4.6200 -9.6761 -5.5628
8.1151 -5.5984 -1.4833
7.1836 -10.3491 -0.0781
10.3092 -7.6346 -4.4307
3.5428 -5.8009 -6.5285
4.1199 -10.3951 -3.5031
3.9599 -7.4958 -0.9708
8.7752 -7.7788 -6.0754
8.6152 -4.8794 -3.5430
9.1922 -9.4736 -0.5176